1.
# Sr3LiDy2S6

A geometry-optimized Sr3LiDy2S6 structure (PBE, the Alexandria database).

Results
The formation energy from raw total energies is -1.990 eV/atom. As for the density of states at the Fermi level: 3.6 states/eV/f.u. The total energy comes out at -5.400 eV/atom. The calculation puts the density at 4.54 Mg/m³.

Geometry as POSCAR:
```
Sr3LiDy2S6
1.0
7.042 0.000 0.002
-3.519 6.099 0.002
-1.173 -2.031 6.702
Li S Dy Sr
1 6 2 3
Direct
0.000 0.000 0.000
0.738 0.738 0.225
0.924 0.586 0.772
0.076 0.414 0.228
0.262 0.262 0.775
0.586 0.924 0.772
0.414 0.076 0.228
0.667 0.333 0.000
0.333 0.667 0.000
0.500 0.500 0.500
0.836 0.164 0.500
0.164 0.836 0.500
```

---

2.
# LiDy2TaS6

A geometry-optimized LiDy2TaS6 structure (PBE, the Alexandria database).

Results
The formation energy from raw total energies is -1.519 eV/atom. As for the density of states at the Fermi level: 0.0 states/eV/f.u. The total energy comes out at -6.293 eV/atom. The calculation puts the density at 5.14 Mg/m³.

Geometry as POSCAR:
```
LiDy2TaS6
1.0
6.651 0.000 0.000
3.325 5.760 0.000
3.325 1.920 5.944
Ta Dy S Li
1 2 6 1
Direct
0.323 0.323 0.030
0.017 0.017 0.950
0.519 0.519 0.443
0.576 0.213 0.246
0.111 0.430 0.759
0.213 0.966 0.246
0.429 0.701 0.759
0.966 0.576 0.246
0.701 0.111 0.759
0.807 0.807 0.580
```